This record from the Alexandria database describes a relaxed structure of FeNiHgF6. The functional is PBE+U.

Cell lengths 5.371, 5.371, 11.120 Å; angles 90.00, 90.00, 120.00 degrees
Positions (direct):
F (0.991, 0.620, 0.347)
F (0.620, 0.991, 0.847)
F (0.629, 0.009, 0.347)
Hg (0.000, 0.000, 0.000)
F (0.371, 0.380, 0.847)
F (0.629, 0.620, 0.153)
F (0.991, 0.371, 0.153)
Fe (0.333, 0.667, 0.750)
Fe (0.667, 0.333, 0.250)
F (0.371, 0.991, 0.653)
F (0.380, 0.009, 0.153)
F (0.009, 0.629, 0.847)
Hg (0.000, 0.000, 0.500)
Ni (0.333, 0.667, 0.250)
F (0.620, 0.629, 0.653)
F (0.380, 0.371, 0.347)
Ni (0.667, 0.333, 0.750)
F (0.009, 0.380, 0.653)

Results
**VASP energy**: -4.173 eV per atom
**D(E_F)**: 2.5 states/eV/f.u.